Computed, not measured: Cs2Mg3Br8 after structural relaxation at the PBE-GGA level of DFT.

Lattice parameters (Å, degrees): 7.0333 8.1392 9.6088 115.06 105.19 90.00
Element x y z (fractional)
Mg: 0.0000 0.7399 0.0000
Mg: 0.5000 0.0000 0.0000
Mg: 0.0000 0.2601 0.0000
Cs: 0.6737 0.7374 0.4748
Cs: 0.3263 0.2626 0.5252
Br: 0.6175 0.6830 0.8261
Br: 0.6175 0.1431 0.8261
Br: 0.3825 0.8569 0.1739
Br: 0.3825 0.3170 0.1739
Br: 0.8931 0.0896 0.1792
Br: 0.0464 0.4020 0.8041
Br: 0.1069 0.9104 0.8208
Br: 0.9536 0.5980 0.1959

Values from the calculation:
symmetry = C2/m, No. 12
E_form (uncorrected) = -1967 kJ/mol of formula units
total moment = 0.0 Bohr magnetons per cell
DOS at the Fermi energy = 0.00 states/eV/f.u.